Compound: NdMgRu
Source: Alexandria via LeMat-Bulk
Functional: PBE-GGA
Structure: relaxed

The volume comes out at 24.4 Å³/atom. The calculation puts the total energy at -5.23 eV/atom. For the formation energy, the calculation gives -17 meV per atom.

The space group is P-1 (No. 2) and the conventional cell measures 5.0898, 5.9599 and 5.9630 Å, with angles of 71.83, 64.76 and 64.80 degrees. The inequivalent atoms are Nd at (0.0000, 0.0000, 0.0000), Nd at (0.5000, 0.5000, 0.5000), Mg at (0.2484, 0.1499, 0.3522), Ru at (0.0000, 0.5000, 0.0000) and Ru at (0.5000, 0.5000, 0.0000).